Entry 1:
A relaxed Sr2BeCr crystal. Source: Alexandria, functional PBE.

Output
- E (eV per cell) = -14.461
- ΔH_f (0 K) (meV per atom) = 563.0

The structure in POSCAR format:
```
Sr2BeCr
1.0
3.532 0.000 0.000
0.000 3.532 0.000
0.000 0.000 8.927
Be Sr Cr
1 2 1
Direct
0.000 0.000 0.582
0.500 0.500 0.327
0.000 0.000 0.929
0.500 0.500 0.663
```

Entry 2:
A relaxed SrBeCr crystal. Source: Alexandria, functional PBE.

Output
- energy relative to the lowest polymorph listed for this composition (meV per atom) = 878
- E (eV per cell) = -10.466
- ΔH_f (0 K) (meV per atom) = 1521.7

The structure in POSCAR format:
```
SrBeCr
1.0
5.049 0.000 0.000
2.525 4.373 0.000
2.525 1.458 4.123
Cr Be Sr
1 1 1
Direct
0.500 0.500 0.500
0.000 0.000 0.000
0.750 0.750 0.750
```

Entry 3:
A relaxed Sr2BeCr crystal. Source: Alexandria, functional PBE.

Output
- E (eV per cell) = -13.131
- ΔH_f (0 K) (meV per atom) = 895.5

The structure in POSCAR format:
```
Sr2BeCr
1.0
-7.893 2.673 -3.977
-6.944 -0.880 -6.021
-8.882 -1.053 -2.291
Sr Be Cr
2 1 1
Direct
0.991 0.991 0.991
0.509 0.509 0.509
0.250 0.250 0.250
0.750 0.750 0.750
```

Entry 4:
A relaxed SrBe2Cr crystal. Source: Alexandria, functional PBE.

Output
- energy relative to the lowest polymorph listed for this composition (meV per atom) = 583
- E (eV per cell) = -15.045
- ΔH_f (0 K) (meV per atom) = 928.2

The structure in POSCAR format:
```
SrBe2Cr
1.0
7.388 0.101 0.267
-3.090 3.596 0.028
1.208 1.017 2.693
Be Cr Sr
2 1 1
Direct
0.000 0.000 0.000
0.500 0.000 0.500
0.000 0.500 0.500
0.500 0.500 0.000
```